<a>
Pm2GeH: optimized geometry, PBE.

Cell: 6.447 6.447 6.447 Å, 38.02 38.02 38.02°
Positions (direct):
Pm 0.244 0.244 0.244
Pm 0.756 0.756 0.756
Ge 0.000 0.000 0.000
H 0.500 0.500 0.500

## Properties
D(E_F) ... 0.735 states/eV/atom
Magnetic moment ... 0.00 μB per formula unit

<b>
Pm2GeH: optimized geometry, PBE.

Cell: 4.956 4.956 3.579 Å, 90.00 90.00 90.00°
Positions (direct):
Pm 0.000 0.500 0.000
Pm 0.500 0.000 0.000
Ge 0.000 0.000 0.500
H 0.500 0.500 0.500

## Properties
D(E_F) ... 0.675 states/eV/atom
Magnetic moment ... 0.00 μB per formula unit

Most stable structure: <a>

<a>
Pm2GeH: optimized geometry, PBE.

Cell: 4.971 4.971 4.971 Å, 60.00 60.00 60.00°
Positions (direct):
Pm 0.250 0.250 0.250
Pm 0.750 0.750 0.750
Ge 0.000 0.000 0.000
H 0.500 0.500 0.500

## Properties
D(E_F) ... 0.519 states/eV/atom
Magnetic moment ... 0.00 μB per formula unit

<b>
Pm2GeH: optimized geometry, PBE.

Cell: 6.232 7.182 8.533 Å, 90.00 110.72 90.00°
Positions (direct):
Pm 0.001 0.006 0.228
Pm 0.001 0.494 0.728
Pm 0.416 0.212 0.607
Pm 0.416 0.288 0.107
Pm 0.584 0.712 0.893
Pm 0.584 0.788 0.393
Pm 0.999 0.506 0.272
Pm 0.999 0.994 0.772
Ge 0.207 0.714 0.052
Ge 0.207 0.786 0.552
Ge 0.793 0.214 0.448
Ge 0.793 0.286 0.948
H 0.254 0.241 0.816
H 0.254 0.259 0.316
H 0.746 0.741 0.684
H 0.746 0.759 0.184

## Properties
D(E_F) ... 0.783 states/eV/atom
Magnetic moment ... 0.00 μB per formula unit

Most stable structure: <b>

<a>
Pm5Ge3H: optimized geometry, PBE.

Cell: 8.807 8.807 6.491 Å, 90.00 90.00 120.00°
Positions (direct):
Pm 0.000 0.249 0.250
Pm 0.000 0.751 0.750
Pm 0.249 0.000 0.250
Pm 0.249 0.249 0.750
Pm 0.333 0.667 0.000
Pm 0.333 0.667 0.500
Pm 0.667 0.333 0.000
Pm 0.667 0.333 0.500
Pm 0.751 0.000 0.750
Pm 0.751 0.751 0.250
Ge 0.000 0.388 0.750
Ge 0.000 0.612 0.250
Ge 0.388 0.000 0.750
Ge 0.388 0.388 0.250
Ge 0.612 0.000 0.250
Ge 0.612 0.612 0.750
H 0.000 0.000 0.000
H 0.000 0.000 0.500

## Properties
D(E_F) ... 0.652 states/eV/atom
Magnetic moment ... 0.00 μB per formula unit

<b>
Pm5Ge3H: optimized geometry, PBE.

Cell: 8.873 8.873 8.873 Å, 127.07 127.07 78.14°
Positions (direct):
Pm 0.000 0.000 0.000
Pm 0.020 0.520 0.834
Pm 0.186 0.020 0.500
Pm 0.314 0.814 0.834
Pm 0.480 0.314 0.500
Pm 0.500 0.500 0.000
Pm 0.520 0.686 0.500
Pm 0.686 0.186 0.166
Pm 0.814 0.980 0.500
Pm 0.980 0.480 0.166
Ge 0.129 0.371 0.500
Ge 0.250 0.250 0.000
Ge 0.371 0.871 0.243
Ge 0.629 0.129 0.757
Ge 0.750 0.750 0.000
Ge 0.871 0.629 0.500
H 0.250 0.750 0.500
H 0.750 0.250 0.500

## Properties
D(E_F) ... 0.871 states/eV/atom
Magnetic moment ... 0.00 μB per formula unit

Most stable structure: <a>

<a>
Pm2GeH3: optimized geometry, PBE.

Cell: 7.406 7.406 7.579 Å, 115.83 115.83 30.95°
Positions (direct):
Pm 0.026 0.026 0.280
Pm 0.284 0.284 0.295
Pm 0.716 0.716 0.705
Pm 0.974 0.974 0.720
Ge 0.398 0.398 0.956
Ge 0.602 0.602 0.044
H 0.113 0.113 0.652
H 0.201 0.201 0.494
H 0.432 0.432 0.567
H 0.568 0.568 0.433
H 0.799 0.799 0.506
H 0.887 0.887 0.348

## Properties
D(E_F) ... 0.110 states/eV/atom
Magnetic moment ... 0.00 μB per formula unit

<b>
Pm2GeH3: optimized geometry, PBE.

Cell: 6.418 6.418 9.278 Å, 123.25 123.25 36.50°
Positions (direct):
Pm 0.059 0.059 0.338
Pm 0.322 0.322 0.902
Pm 0.678 0.678 0.098
Pm 0.941 0.941 0.662
Ge 0.374 0.374 0.374
Ge 0.626 0.626 0.626
H 0.110 0.110 0.142
H 0.149 0.149 0.935
H 0.465 0.465 0.811
H 0.535 0.535 0.189
H 0.851 0.851 0.065
H 0.890 0.890 0.858

## Properties
D(E_F) ... 0.143 states/eV/atom
Magnetic moment ... 0.00 μB per formula unit

Most stable structure: <b>

<a>
Pr4Ge2H: optimized geometry, PBE.

Cell: 8.995 8.995 8.995 Å, 150.17 150.17 42.69°
Positions (direct):
Pr 0.000 0.500 0.500
Pr 0.183 0.183 0.000
Pr 0.500 0.000 0.500
Pr 0.817 0.817 0.000
Ge 0.365 0.365 0.000
Ge 0.635 0.635 0.000
H 0.000 0.000 0.000

## Properties
D(E_F) ... 0.885 states/eV/atom
Magnetic moment ... 0.00 μB per formula unit

<b>
Pr4Ge2H: optimized geometry, PBE.

Cell: 6.627 6.618 8.869 Å, 90.00 109.26 90.00°
Positions (direct):
Pr 0.011 0.001 0.265
Pr 0.011 0.499 0.265
Pr 0.409 0.250 0.089
Pr 0.431 0.250 0.622
Pr 0.569 0.750 0.378
Pr 0.591 0.750 0.911
Pr 0.989 0.501 0.735
Pr 0.989 0.999 0.735
Ge 0.217 0.750 0.050
Ge 0.268 0.750 0.572
Ge 0.732 0.250 0.428
Ge 0.783 0.250 0.950
H 0.250 0.250 0.811
H 0.750 0.750 0.189

## Properties
D(E_F) ... 0.780 states/eV/atom
Magnetic moment ... 0.00 μB per formula unit

Most stable structure: <b>

<a>
Pr2GeH: optimized geometry, PBE.

Cell: 7.782 4.250 11.320 Å, 90.00 90.00 90.00°
Positions (direct):
Pr 0.027 0.250 0.206
Pr 0.194 0.750 0.456
Pr 0.306 0.250 0.956
Pr 0.473 0.750 0.706
Pr 0.527 0.250 0.294
Pr 0.694 0.750 0.044
Pr 0.806 0.250 0.544
Pr 0.973 0.750 0.794
Ge 0.173 0.250 0.661
Ge 0.327 0.750 0.161
Ge 0.673 0.250 0.839
Ge 0.827 0.750 0.339
H 0.230 0.250 0.366
H 0.270 0.750 0.866
H 0.730 0.250 0.134
H 0.770 0.750 0.634

## Properties
D(E_F) ... 0.768 states/eV/atom
Magnetic moment ... 0.00 μB per formula unit

<b>
Pr2GeH: optimized geometry, PBE.

Cell: 3.456 3.456 7.309 Å, 90.00 90.00 90.00°
Positions (direct):
Pr 0.000 0.000 0.237
Pr 0.000 0.000 0.763
Ge 0.500 0.500 0.500
H 0.500 0.500 0.000

## Properties
D(E_F) ... 0.656 states/eV/atom
Magnetic moment ... 0.00 μB per formula unit

Most stable structure: <a>

<a>
Pr2GeH: optimized geometry, PBE.

Cell: 6.411 6.411 8.426 Å, 90.00 90.00 120.00°
Positions (direct):
Pr 0.107 0.392 0.380
Pr 0.286 0.893 0.047
Pr 0.392 0.107 0.620
Pr 0.608 0.714 0.713
Pr 0.714 0.608 0.287
Pr 0.893 0.286 0.953
Ge 0.000 0.596 0.667
Ge 0.404 0.404 0.000
Ge 0.596 0.000 0.333
H 0.000 0.548 0.167
H 0.452 0.452 0.500
H 0.548 0.000 0.833

## Properties
D(E_F) ... 0.723 states/eV/atom
Magnetic moment ... 0.00 μB per formula unit

<b>
Pr2GeH: optimized geometry, PBE.

Cell: 8.060 8.060 8.060 Å, 31.84 31.84 31.84°
Positions (direct):
Pr 0.099 0.099 0.099
Pr 0.901 0.901 0.901
Ge 0.500 0.500 0.500
H 0.000 0.000 0.000

## Properties
D(E_F) ... 0.760 states/eV/atom
Magnetic moment ... 0.00 μB per formula unit

Most stable structure: <a>